# 1
This record from the Alexandria database describes a geometry-optimized PdI4Cl structure. The functional is PBE-GGA.

Calculated values
DFT total energy = -54.222 eV/cell
V = 994.08 Å³ per cell
ρ = 4.34 g cm⁻³
Distance to the lowest polymorph of the same formula = 0.04 eV per formula unit
ΔE_f (raw) = -53 meV per atom

Cell lengths 19.736, 8.931, 5.676 Å; angles 90.00, 96.50, 90.00 degrees
Space group C2/m (No. 12)
Inequivalent atoms, fractional coordinates:
Pd 0.066 0.000 0.286 [4 per cell]
I 0.000 0.201 0.000 [4 per cell]
I 0.121 0.209 0.565 [8 per cell]
I 0.217 0.000 0.218 [4 per cell]
Cl 0.184 0.500 0.009 [4 per cell]

# 2
This record from the Alexandria database describes a geometry-optimized Th2SbPd6 structure. The functional is PBE-GGA.

Calculated values
DFT total energy = -114.550 eV/cell
V = 360.01 Å³ per cell
ρ = 11.29 g cm⁻³
ΔE_f (raw) = -795 meV per atom

Cell lengths 10.142, 5.856, 6.061 Å; angles 90.00, 90.02, 90.00 degrees
Space group C2/m (No. 12)
Inequivalent atoms, fractional coordinates:
Th 0.167 0.000 0.307 [4 per cell]
Sb 0.000 0.500 0.500 [2 per cell]
Pd 0.089 0.233 0.823 [8 per cell]
Pd 0.178 0.500 0.179 [4 per cell]

# 3
This record from the Alexandria database describes a geometry-optimized NbIn2Cu structure. The functional is PBE-GGA.

Calculated values
DFT total energy = -72.761 eV/cell
V = 320.35 Å³ per cell
ρ = 8.01 g cm⁻³
DFT formation energy = 363.1 meV per atom

Cell lengths 7.427, 7.427, 5.808 Å; angles 90.00, 90.00, 90.00 degrees
Space group I-42d (No. 122)
Inequivalent atoms, fractional coordinates:
Nb 0.000 0.000 0.000 [4 per cell]
In 0.214 0.250 0.625 [8 per cell]
Cu 0.000 0.000 0.500 [4 per cell]